Here is a geometry-optimized K3PuCr2O8 structure from Alexandria. Energies are from PBE+U.

It has space group P-3m1 (No. 164), with a = 5.9547 Å, b = 5.9547 Å, c = 7.6690 Å, α = 90.00°, β = 90.00° and γ = 120.00°. Symmetry generates all atoms from K at (0.0000, 0.0000, 0.0000), K at (0.3333, 0.6667, 0.6854), Pu at (0.0000, 0.0000, 0.5000), Cr at (0.3333, 0.6667, 0.2412), O at (0.1698, 0.3395, 0.3339) and O at (0.3333, 0.6667, 0.0237).

For the final energy, the calculation gives -7.1160 eV/atom. The value obtained for the total magnetization is 0.500 μB/atom.